[1]
The following is a PBE calculation of crystalline TbSmTe2O8 at its relaxed geometry, from Alexandria.

Output
The value obtained for the size of the total moment is 0.00 μB/cell. The value obtained for the uncorrected formation energy is -1.937 eV/atom. The calculation puts the total energy at -78.548 eV/cell. As for the space group: I-4m2 (119).

Geometry as extended XYZ:
```
12
Lattice="-3.729 3.729 3.449 3.729 -3.729 3.449 3.729 3.729 -3.449" Properties=species:S:1:pos:R:3 pbc="T T T"
Tb 0.000 0.000 0.000
Sm 0.000 3.729 1.725
Te 3.729 0.000 1.725
Te 0.000 0.000 3.449
O 2.334 0.000 0.349
O 5.124 0.000 0.349
O 3.729 2.368 -1.379
O 3.729 -1.395 3.100
O 0.000 1.361 2.071
O 3.729 1.395 3.100
O 2.368 3.729 1.379
O 1.361 0.000 4.828
```



[2]
The following is a PBE calculation of crystalline TaHN2 at its relaxed geometry, from Alexandria.

Output
The value obtained for the size of the total moment is 0.20 μB/cell. The calculation puts the total energy at -30.099 eV/cell. As for the space group: Fm-3m (225).

Geometry as extended XYZ:
```
4
Lattice="0.000 2.546 2.546 2.546 0.000 2.546 2.546 2.546 0.000" Properties=species:S:1:pos:R:3 pbc="T T T"
Ta 0.000 0.000 0.000
H 2.546 2.546 2.546
N 1.273 1.273 1.273
N 3.819 3.819 3.819
```



[3]
The following is a PBE calculation of crystalline LiMg2Si2Rh5 at its relaxed geometry, from Alexandria.

Output
The value obtained for the size of the total moment is 0.00 μB/cell. The value obtained for the uncorrected formation energy is -0.645 eV/atom. The calculation puts the total energy at -118.316 eV/cell. As for the space group: P4/mbm (127).

Geometry as extended XYZ:
```
20
Lattice="9.674 0.000 0.000 0.000 9.674 0.000 0.000 0.000 3.112" Properties=species:S:1:pos:R:3 pbc="T T T"
Li 0.000 0.000 0.000
Li 4.837 4.837 0.000
Mg 1.648 3.189 0.000
Mg 3.189 8.026 0.000
Mg 6.485 1.648 0.000
Mg 8.026 6.485 0.000
Si 1.296 6.133 0.000
Si 3.541 1.296 0.000
Si 6.133 8.378 0.000
Si 8.378 3.541 0.000
Rh 0.000 4.837 1.556
Rh 0.679 7.739 1.556
Rh 1.935 0.679 1.556
Rh 2.902 5.516 1.556
Rh 4.158 2.902 1.556
Rh 4.837 0.000 1.556
Rh 5.516 6.772 1.556
Rh 6.772 4.158 1.556
Rh 7.739 8.995 1.556
Rh 8.995 1.935 1.556
```



[4]
The following is a PBE calculation of crystalline LiY2Pd at its relaxed geometry, from Alexandria.

Output
For the formation energy, the calculation gives -135 meV/atom. The value obtained for the size of the total moment is 0.00 μB/cell. The calculation puts the total energy at -20.576 eV/cell. As for the space group: Immm (71).

Geometry as extended XYZ:
```
4
Lattice="-1.713 1.849 7.939 1.713 -1.849 7.939 1.713 1.849 -7.939" Properties=species:S:1:pos:R:3 pbc="T T T"
Li 0.000 0.000 0.000
Y 0.000 0.000 5.238
Y 0.000 0.000 10.639
Pd 0.000 0.000 7.939
```



[5]
The following is a PBE calculation of crystalline TbZrAg at its relaxed geometry, from Alexandria.

Output
For the formation energy, the calculation gives -76 meV/atom. The value obtained for the size of the total moment is 0.00 μB/cell. The calculation puts the total energy at -16.257 eV/cell. As for the space group: I4mm (107).

Geometry as extended XYZ:
```
3
Lattice="-1.694 1.694 6.258 1.694 -1.694 6.258 1.694 1.694 -6.258" Properties=species:S:1:pos:R:3 pbc="T T T"
Tb 0.000 0.000 0.000
Zr 0.000 0.000 3.986
Ag 0.000 0.000 8.427
```



[6]
The following is a PBE calculation of crystalline Er4Te2Pt at its relaxed geometry, from Alexandria.

Output
The value obtained for the size of the total moment is 0.00 μB/cell. The value obtained for the uncorrected formation energy is -1.085 eV/atom. The calculation puts the total energy at -76.348 eV/cell. As for the space group: Pbam (55).

Geometry as extended XYZ:
```
14
Lattice="7.819 0.000 0.000 0.000 12.290 0.000 0.000 0.000 4.273" Properties=species:S:1:pos:R:3 pbc="T T T"
Er 1.128 2.489 0.000
Er 1.594 11.634 2.136
Er 2.316 5.489 2.136
Er 2.782 8.634 0.000
Er 5.037 3.656 0.000
Er 5.504 6.802 2.136
Er 6.225 0.657 2.136
Er 6.691 9.801 0.000
Te 0.530 8.207 2.136
Te 3.380 2.062 2.136
Te 4.439 10.229 2.136
Te 7.289 4.084 2.136
Pt 0.000 0.000 0.000
Pt 3.910 6.145 0.000
```



[7]
The following is a PBE calculation of crystalline Y2SbC at its relaxed geometry, from Alexandria.

Output
The value obtained for the size of the total moment is 0.00 μB/cell. The value obtained for the uncorrected formation energy is 0.301 eV/atom. The calculation puts the total energy at -25.069 eV/cell. As for the space group: Fm-3m (225).

Geometry as extended XYZ:
```
4
Lattice="0.000 3.542 3.542 3.542 0.000 3.542 3.542 3.542 0.000" Properties=species:S:1:pos:R:3 pbc="T T T"
Y 1.771 1.771 1.771
Y 5.313 5.313 5.313
Sb 0.000 0.000 0.000
C 3.542 3.542 3.542
```



[8]
The following is a PBE calculation of crystalline AsRu at its relaxed geometry, from Alexandria.

Output
For the formation energy, the calculation gives -3 meV/atom. The value obtained for the size of the total moment is 0.03 μB/cell. The calculation puts the total energy at -13.932 eV/cell. As for the space group: Pm-3m (221).

Geometry as extended XYZ:
```
2
Lattice="3.083 0.000 0.000 0.000 3.083 0.000 0.000 0.000 3.083" Properties=species:S:1:pos:R:3 pbc="T T T"
As 0.000 0.000 0.000
Ru 1.541 1.541 1.541
```



[9]
The following is a PBE calculation of crystalline Na2NpTa2S6 at its relaxed geometry, from Alexandria.

Output
The value obtained for the size of the total moment is 3.79 μB/cell. The value obtained for the uncorrected formation energy is -1.138 eV/atom. The calculation puts the total energy at -76.564 eV/cell. As for the space group: C2/m (12).

Geometry as extended XYZ:
```
11
Lattice="3.221 -5.287 0.000 3.221 5.287 0.000 -1.606 0.000 6.982" Properties=species:S:1:pos:R:3 pbc="T T T"
Na 3.221 3.460 0.000
Na 3.221 -3.460 0.000
Np -0.803 0.000 3.491
Ta 2.418 1.488 3.491
Ta 2.418 -1.488 3.491
S 0.409 1.905 4.932
S 1.380 0.000 1.847
S 0.409 -1.905 4.932
S 4.428 1.905 2.050
S 3.456 0.000 5.135
S 4.428 -1.905 2.050
```



[10]
The following is a PBE calculation of crystalline LaAl9Ir2 at its relaxed geometry, from Alexandria.

Output
For the formation energy, the calculation gives -583 meV/atom. The value obtained for the size of the total moment is 0.00 μB/cell. The calculation puts the total energy at -126.662 eV/cell. As for the space group: I4_1/amd (141).

Geometry as extended XYZ:
```
24
Lattice="-5.359 5.359 3.549 5.359 -5.359 3.549 5.359 5.359 -3.549" Properties=species:S:1:pos:R:3 pbc="T T T"
La 5.359 2.679 0.887
La 0.000 2.679 2.662
Al 5.359 -2.679 2.662
Al 4.047 -0.511 1.322
Al 6.670 -0.511 1.322
Al 2.168 1.368 0.452
Al 8.549 1.368 0.452
Al 4.047 4.848 -1.322
Al 1.311 -0.511 2.227
Al 2.168 3.991 0.452
Al 3.190 -1.368 4.001
Al 2.168 6.726 -0.452
Al 3.190 1.368 3.097
Al 4.047 5.869 1.322
Al 1.311 0.511 4.872
Al -3.190 3.991 3.097
Al 3.190 3.991 3.097
Al -1.311 5.869 2.227
Al 1.311 5.869 2.227
Al 0.000 8.038 0.887
Ir 0.000 0.000 0.000
Ir 2.679 2.679 -1.775
Ir 2.679 -2.679 1.775
Ir 0.000 5.359 0.000
```



[11]
The following is a PBE calculation of crystalline ZrZnBr3 at its relaxed geometry, from Alexandria.

Output
The value obtained for the size of the total moment is 2.66 μB/cell. The value obtained for the uncorrected formation energy is 0.033 eV/atom. The calculation puts the total energy at -14.675 eV/cell. As for the space group: Pm-3m (221).

Geometry as extended XYZ:
```
5
Lattice="5.146 0.000 0.000 0.000 5.146 0.000 0.000 0.000 5.146" Properties=species:S:1:pos:R:3 pbc="T T T"
Zr 0.000 0.000 0.000
Zn 2.573 2.573 2.573
Br 0.000 2.573 2.573
Br 2.573 0.000 2.573
Br 2.573 2.573 0.000
```



[12]
The following is a PBE calculation of crystalline LaFeW2 at its relaxed geometry, from Alexandria.

Output
For the formation energy, the calculation gives 932 meV/atom. The value obtained for the size of the total moment is 2.25 μB/cell. The calculation puts the total energy at -35.568 eV/cell. As for the space group: Cmmm (65).

Geometry as extended XYZ:
```
4
Lattice="2.688 -5.041 0.000 2.688 5.041 0.000 0.000 0.000 2.740" Properties=species:S:1:pos:R:3 pbc="T T T"
La 0.000 0.000 0.000
Fe 2.688 0.000 0.000
W 1.344 2.520 1.370
W 1.344 -2.520 1.370
```